First-principles (PBE) data for an optimized crystal structure of LaTeIO, as listed in Alexandria via LeMat-Bulk.

Properties
DOS at the Fermi energy ... 2.138 states/eV per cell
Formation energy (no corrections) ... -2057 meV per atom

```
data_LaTeIO
_chemical_formula_sum 'La2 Te2 I2 O2'
_cell_length_a 4.2066
_cell_length_b 4.2066
_cell_length_c 15.1570
_cell_angle_alpha 90.00
_cell_angle_beta 90.00
_cell_angle_gamma 90.00
_symmetry_space_group_name_H-M 'P 4/n m m'
_symmetry_Int_Tables_number 129
loop_
_symmetry_equiv_pos_as_xyz
'x,y,z'
'-x,-y,-z'
'-y+1/2,x,z'
'y+1/2,-x,-z'
'-x+1/2,-y+1/2,z'
'x+1/2,y+1/2,-z'
'y,-x+1/2,z'
'-y,x+1/2,-z'
'x+1/2,-y,-z'
'-x+1/2,y,z'
'-y,-x,-z'
'y,x,z'
'-x,y+1/2,-z'
'x,-y+1/2,z'
'y+1/2,x+1/2,-z'
'-y+1/2,-x+1/2,z'
loop_
_atom_site_label
_atom_site_fract_x
_atom_site_fract_y
_atom_site_fract_z
La1 0.2500 0.2500 0.0773
Te1 0.2500 0.7500 0.5000
I1 0.2500 0.2500 0.7972
O1 0.2500 0.7500 0.0000
```

First-principles (PBE) data for an optimized crystal structure of Ac8Ru2Au, as listed in Alexandria via LeMat-Bulk.

Properties
Offset from the most stable computed form ... 0 meV/atom
DOS at the Fermi energy ... 27.882 states/eV per cell
Energy of formation from the pure elements ... -0.21 eV per atom

```
data_Ac8Ru2Au
_chemical_formula_sum 'Ac16 Ru4 Au2'
_cell_length_a 14.7052
_cell_length_b 8.6055
_cell_length_c 7.3174
_cell_angle_alpha 90.00
_cell_angle_beta 106.15
_cell_angle_gamma 90.00
_symmetry_space_group_name_H-M 'C 1 2/m 1'
_symmetry_Int_Tables_number 12
loop_
_symmetry_equiv_pos_as_xyz
'x,y,z'
'-x,-y,-z'
'-x,y,-z'
'x,-y,z'
'x+1/2,y+1/2,z'
'-x+1/2,-y+1/2,-z'
'-x+1/2,y+1/2,-z'
'x+1/2,-y+1/2,z'
loop_
_atom_site_label
_atom_site_fract_x
_atom_site_fract_y
_atom_site_fract_z
Ac1 0.1136 0.0000 0.2493
Ac2 0.1296 0.5000 0.2335
Ac3 0.1403 0.2557 0.7658
Ru1 0.2387 0.0000 0.0137
Au1 0.0000 0.5000 0.5000
```

First-principles (PBE) data for an optimized crystal structure of VAg3Br, as listed in Alexandria via LeMat-Bulk.

Properties
Offset from the most stable computed form ... 0 meV/atom
DOS at the Fermi energy ... 7.119 states/eV per cell
Formation energy (no corrections) ... 1069 meV per atom

```
data_VAg3Br
_chemical_formula_sum 'V1 Ag3 Br1'
_cell_length_a 5.1365
_cell_length_b 5.1365
_cell_length_c 5.1365
_cell_angle_alpha 90.00
_cell_angle_beta 90.00
_cell_angle_gamma 90.00
_symmetry_space_group_name_H-M 'P m -3 m'
_symmetry_Int_Tables_number 221
_symmetry_space_group_name_Hall '-P 4 2 3'
loop_
_atom_site_label
_atom_site_fract_x
_atom_site_fract_y
_atom_site_fract_z
V1 0.0000 0.0000 0.0000
Ag1 0.0000 0.0000 0.5000
Br1 0.5000 0.5000 0.5000
```

First-principles (PBE) data for an optimized crystal structure of Ta2MnCl, as listed in Alexandria via LeMat-Bulk.

Properties
Offset from the most stable computed form ... 202 meV/atom
DOS at the Fermi energy ... 2.889 states/eV per cell
Formation energy (no corrections) ... 154 meV per atom

```
data_Ta2MnCl
_chemical_formula_sum 'Ta2 Mn1 Cl1'
_cell_length_a 2.9197
_cell_length_b 2.9197
_cell_length_c 8.8433
_cell_angle_alpha 90.00
_cell_angle_beta 90.00
_cell_angle_gamma 90.00
_symmetry_space_group_name_H-M 'P 4 m m'
_symmetry_Int_Tables_number 99
loop_
_symmetry_equiv_pos_as_xyz
'x,y,z'
'-y,x,z'
'-x,-y,z'
'y,-x,z'
'-x,y,z'
'y,x,z'
'x,-y,z'
'-y,-x,z'
loop_
_atom_site_label
_atom_site_fract_x
_atom_site_fract_y
_atom_site_fract_z
Ta1 0.0000 0.0000 0.0000
Ta2 0.5000 0.5000 0.2523
Mn1 0.5000 0.5000 0.7887
Cl1 0.0000 0.0000 0.4497
```

First-principles (PBE) data for an optimized crystal structure of Ac4CuS7, as listed in Alexandria via LeMat-Bulk.

Properties
DOS at the Fermi energy ... 2.758 states/eV per cell
Formation energy (no corrections) ... -1815 meV per atom

```
data_Ac4CuS7
_chemical_formula_sum 'Ac8 Cu2 S14'
_cell_length_a 15.7497
_cell_length_b 4.9036
_cell_length_c 10.8946
_cell_angle_alpha 90.00
_cell_angle_beta 129.50
_cell_angle_gamma 90.00
_symmetry_space_group_name_H-M 'C 1 2/m 1'
_symmetry_Int_Tables_number 12
loop_
_symmetry_equiv_pos_as_xyz
'x,y,z'
'-x,-y,-z'
'-x,y,-z'
'x,-y,z'
'x+1/2,y+1/2,z'
'-x+1/2,-y+1/2,-z'
'-x+1/2,y+1/2,-z'
'x+1/2,-y+1/2,z'
loop_
_atom_site_label
_atom_site_fract_x
_atom_site_fract_y
_atom_site_fract_z
Ac1 0.0864 0.0000 0.2865
Ac2 0.2213 0.0000 0.8266
Cu1 0.0000 0.5000 0.5000
S1 0.0000 0.0000 0.5000
S2 0.0675 0.5000 0.7540
S3 0.1380 0.0000 0.0465
S4 0.2134 0.5000 0.3621
```

First-principles (PBE) data for an optimized crystal structure of TbP3Pd5, as listed in Alexandria via LeMat-Bulk.

Properties
DOS at the Fermi energy ... 16.625 states/eV per cell
Energy of formation from the pure elements ... -0.64 eV per atom

```
data_TbP3Pd5
_chemical_formula_sum 'Tb4 P12 Pd20'
_cell_length_a 3.9140
_cell_length_b 13.1949
_cell_length_c 11.8168
_cell_angle_alpha 90.00
_cell_angle_beta 90.00
_cell_angle_gamma 90.00
_symmetry_space_group_name_H-M 'C m c m'
_symmetry_Int_Tables_number 63
_symmetry_space_group_name_Hall '-C 2c 2'
loop_
_atom_site_label
_atom_site_fract_x
_atom_site_fract_y
_atom_site_fract_z
Tb1 0.0000 0.1088 0.2500
P1 0.0000 0.1409 0.7500
P2 0.0000 0.4081 0.5737
Pd1 0.0000 0.0000 0.0000
Pd2 0.0000 0.2349 0.5831
Pd3 0.0000 0.4092 0.1359
```

First-principles (PBE) data for an optimized crystal structure of GaGeF, as listed in Alexandria via LeMat-Bulk.

Properties
DOS at the Fermi energy ... 0.616 states/eV per cell
Formation energy (no corrections) ... -993 meV per atom

```
data_GaGeF
_chemical_formula_sum 'Ga2 Ge2 F2'
_cell_length_a 4.2599
_cell_length_b 4.7586
_cell_length_c 6.3920
_cell_angle_alpha 89.94
_cell_angle_beta 89.43
_cell_angle_gamma 83.87
_symmetry_space_group_name_H-M 'P -1'
_symmetry_Int_Tables_number 2
loop_
_symmetry_equiv_pos_as_xyz
'x,y,z'
'-x,-y,-z'
loop_
_atom_site_label
_atom_site_fract_x
_atom_site_fract_y
_atom_site_fract_z
Ga1 0.0006 0.4973 0.2594
Ge1 0.2351 0.1429 0.9969
F1 0.2058 0.6685 0.4978
```

First-principles (PBE) data for an optimized crystal structure of HoErOs, as listed in Alexandria via LeMat-Bulk.

Properties
Offset from the most stable computed form ... 0 meV/atom
DOS at the Fermi energy ... 4.406 states/eV per cell
Energy of formation from the pure elements ... -0.28 eV per atom

```
data_HoErOs
_chemical_formula_sum 'Ho4 Er4 Os4'
_cell_length_a 7.3937
_cell_length_b 4.3223
_cell_length_c 8.7989
_cell_angle_alpha 90.00
_cell_angle_beta 90.00
_cell_angle_gamma 90.00
_symmetry_space_group_name_H-M 'P n m a'
_symmetry_Int_Tables_number 62
loop_
_symmetry_equiv_pos_as_xyz
'x,y,z'
'-x,-y,-z'
'-x+1/2,-y,z+1/2'
'x+1/2,y,-z+1/2'
'x+1/2,-y+1/2,-z+1/2'
'-x+1/2,y+1/2,z+1/2'
'-x,y+1/2,-z'
'x,-y+1/2,z'
loop_
_atom_site_label
_atom_site_fract_x
_atom_site_fract_y
_atom_site_fract_z
Ho1 0.0228 0.2500 0.1662
Er1 0.1466 0.2500 0.5672
Os1 0.2460 0.7500 0.3804
```

- Among the records above, which one has the highest DOS at the Fermi energy?
  Ac8Ru2Au